A plane-wave DFT calculation with PBE was carried out for a geometry-optimized LiNd2Sc structure.

ΔE_f in eV per formula unit: 0.5
Crystal system: cubic
VASP energy in eV per atom: -4.311

a b c (Å): 7.723 7.723 7.723
angles (deg): 90.00 90.00 90.00
Space group Fm-3m (No. 225)
One atom of each set of equivalent atoms:
Li 0.000 0.000 0.000 (multiplicity 4)
Nd 0.250 0.250 0.250 (multiplicity 8)
Sc 0.000 0.000 0.500 (multiplicity 4)